(1)
Entry from Alexandria via LeMat-Bulk: an optimized crystal structure of HfZrCuPt (GGA-PBE).

Computed properties:
The calculation puts the energy relative to the elements at -2.51 eV/f.u. The calculation puts the density at 11.90 g cm⁻³. The total moment comes out at 0.0 μB per formula unit. Its space-group type is Amm2, No. 38.

Lattice parameters (Å, degrees): 3.369 4.255 5.412 90.00 108.14 90.00
Element x y z (fractional)
Zr1 0.144 0.000 0.288
Pt1 0.417 0.000 0.835
Hf1 0.856 0.500 0.712
Cu1 0.583 0.500 0.165

***

(2)
Entry from Alexandria via LeMat-Bulk: an optimized crystal structure of Tb2PrY (GGA-PBE).

Computed properties:
The calculation puts the energy relative to the elements at 0.55 eV/f.u. The calculation puts the density at 6.79 g cm⁻³. The total moment comes out at 0.0 μB per formula unit. For the energy above the most stable polymorph in this dataset, the calculation gives 129.7 meV per atom. Its space-group type is Fm-3m, No. 225.

Lattice parameters (Å, degrees): 5.742 5.742 5.742 60.00 60.00 60.00
Element x y z (fractional)
Pr1 0.000 0.000 0.000
Tb1 0.250 0.250 0.250
Tb2 0.750 0.750 0.750
Y1 0.500 0.500 0.500

***

(3)
Entry from Alexandria via LeMat-Bulk: an optimized crystal structure of Ni2SeBr (GGA-PBE).

Computed properties:
The calculation puts the density at 5.84 g cm⁻³. The total moment comes out at 0.0 μB per formula unit. For the energy above the most stable polymorph in this dataset, the calculation gives 1.8 meV per atom. Its space-group type is R3m, No. 160.

Lattice parameters (Å, degrees): 7.227 7.227 7.227 29.03 29.03 29.03
Element x y z (fractional)
Br1 0.286 0.286 0.286
Se1 0.455 0.455 0.455
Ni1 0.744 0.744 0.744
Ni2 0.016 0.016 0.016

***

(4)
Entry from Alexandria via LeMat-Bulk: an optimized crystal structure of HfAgHg2S (GGA-PBE).

Computed properties:
For the final energy, the calculation gives -12.387 eV/cell. The calculation puts the density at 7.38 g cm⁻³. The total moment comes out at 0.0 μB per formula unit. Its space-group type is P4/mmm, No. 123.

Lattice parameters (Å, degrees): 5.519 5.312 5.519 90.00 90.00 90.00
Element x y z (fractional)
Hf1 0.000 0.000 0.000
Hg1 0.000 0.000 0.500
Hg2 0.500 0.000 0.000
Ag1 0.000 0.500 0.000
S1 0.500 0.500 0.500

***

(5)
Entry from Alexandria via LeMat-Bulk: an optimized crystal structure of CeSn2Rh4 (GGA-PBE).

Computed properties:
The calculation puts the energy relative to the elements at -3.53 eV/f.u. The calculation puts the density at 10.09 g cm⁻³. The total moment comes out at 0.0 μB per formula unit. For the energy above the most stable polymorph in this dataset, the calculation gives 40.7 meV per atom. Its space-group type is Cmcm, No. 63.

Lattice parameters (Å, degrees): 4.707 4.530 14.255 90.00 90.00 121.30
Element x y z (fractional)
Rh1 0.823 0.646 0.119
Rh2 0.177 0.354 0.619
Rh3 0.177 0.354 0.881
Rh4 0.823 0.646 0.381
Rh5 0.901 0.801 0.750
Rh6 0.500 0.000 0.000
Rh7 0.099 0.199 0.250
Rh8 0.500 0.000 0.500
Sn1 0.167 0.333 0.069
Sn2 0.833 0.667 0.931
Sn3 0.833 0.667 0.569
Sn4 0.167 0.333 0.431
Ce1 0.482 0.965 0.250
Ce2 0.518 0.035 0.750

***

(6)
Entry from Alexandria via LeMat-Bulk: an optimized crystal structure of SrZr2SiAs (GGA-PBE).

Computed properties:
For the final energy, the calculation gives -27.963 eV/cell. The calculation puts the density at 4.37 g cm⁻³. The total moment comes out at 0.0 μB per formula unit. Its space-group type is P4/mmm, No. 123.

Lattice parameters (Å, degrees): 5.049 5.562 5.049 90.00 90.00 90.00
Element x y z (fractional)
Sr1 0.000 0.500 0.000
Zr1 0.500 0.000 0.000
Zr2 0.000 0.000 0.500
As1 0.000 0.000 0.000
Si1 0.500 0.500 0.500

***

(7)
Entry from Alexandria via LeMat-Bulk: an optimized crystal structure of Rb2CaAgBr6 (GGA-PBE).

Computed properties:
The calculation puts the density at 3.77 g cm⁻³. The total moment comes out at 0.0 μB per formula unit. For the energy above the most stable polymorph in this dataset, the calculation gives 0.0 meV per atom. Its space-group type is P4/mmm, No. 123.

Lattice parameters (Å, degrees): 5.603 5.603 11.199 90.00 90.00 90.00
Element x y z (fractional)
Rb1 0.000 0.000 0.265
Rb2 0.000 0.000 0.735
Br1 0.500 0.000 0.500
Br2 0.500 0.000 0.000
Br3 0.500 0.500 0.259
Br4 0.000 0.500 0.500
Br5 0.500 0.500 0.741
Br6 0.000 0.500 0.000
Ca1 0.500 0.500 0.000
Ag1 0.500 0.500 0.500

***

(8)
Entry from Alexandria via LeMat-Bulk: an optimized crystal structure of In5Cu24 (GGA-PBE).

Computed properties:
The calculation puts the energy relative to the elements at 1.56 eV/f.u. The calculation puts the density at 8.79 g cm⁻³. The total moment comes out at 0.0 μB per formula unit. Its space-group type is I-43m, No. 217.

Lattice parameters (Å, degrees): 8.017 8.017 8.017 109.47 109.47 109.47
Element x y z (fractional)
Cu1 0.378 0.192 0.000
Cu2 0.326 0.326 0.730
Cu3 0.622 0.814 0.622
Cu4 0.596 0.270 0.596
Cu5 0.000 0.674 0.404
Cu6 0.186 0.808 0.808
Cu7 0.622 0.622 0.814
Cu8 0.404 0.674 0.000
Cu9 0.808 0.186 0.808
Cu10 0.270 0.596 0.596
Cu11 0.378 0.000 0.192
Cu12 0.730 0.326 0.326
Cu13 0.000 0.378 0.192
Cu14 0.000 0.192 0.378
Cu15 0.326 0.730 0.326
Cu16 0.192 0.000 0.378
Cu17 0.192 0.378 0.000
Cu18 0.674 0.000 0.404
Cu19 0.674 0.404 0.000
Cu20 0.404 0.000 0.674
Cu21 0.808 0.808 0.186
Cu22 0.596 0.596 0.270
Cu23 0.000 0.404 0.674
Cu24 0.814 0.622 0.622
In1 0.378 0.378 0.378
In2 0.000 0.000 0.622
In3 0.000 0.622 0.000
In4 0.622 0.000 0.000
In5 0.000 0.000 0.000

***

(9)
Entry from Alexandria via LeMat-Bulk: an optimized crystal structure of LaAl3Co (GGA-PBE).

Computed properties:
The calculation puts the energy relative to the elements at -2.50 eV/f.u. The calculation puts the density at 4.94 g cm⁻³. The total moment comes out at 0.0 μB per formula unit. For the energy above the most stable polymorph in this dataset, the calculation gives 0.0 meV per atom. Its space-group type is Pnma, No. 62.

Lattice parameters (Å, degrees): 4.113 8.276 11.003 90.00 90.00 90.00
Element x y z (fractional)
Co1 0.750 0.386 0.142
Co2 0.250 0.614 0.858
Co3 0.250 0.114 0.642
Co4 0.750 0.886 0.358
Al1 0.750 0.451 0.920
Al2 0.750 0.644 0.728
Al3 0.750 0.616 0.270
Al4 0.250 0.384 0.730
Al5 0.250 0.049 0.420
Al6 0.750 0.144 0.772
Al7 0.250 0.884 0.770
Al8 0.250 0.549 0.080
Al9 0.250 0.356 0.272
Al10 0.250 0.856 0.228
Al11 0.750 0.116 0.230
Al12 0.750 0.951 0.580
La1 0.250 0.181 0.993
La2 0.750 0.319 0.493
La3 0.750 0.819 0.007
La4 0.250 0.681 0.507

***

(10)
Entry from Alexandria via LeMat-Bulk: an optimized crystal structure of Sr2ScAs (GGA-PBE).

Computed properties:
The calculation puts the energy relative to the elements at -2.02 eV/f.u. The calculation puts the density at 3.51 g cm⁻³. The total moment comes out at 1.0 μB per formula unit. Its space-group type is Immm, No. 71.

Lattice parameters (Å, degrees): 9.525 9.525 4.044 77.75 77.75 22.93
Each line ends with the local moment (μB).
Element x y z (fractional)
Sr1 0.090 0.090 0.909  0.05
Sr2 0.410 0.410 0.591  0.05
As1 0.750 0.750 0.750  -0.01
Sc1 0.250 0.250 0.250  0.40

***

(11)
Entry from Alexandria via LeMat-Bulk: an optimized crystal structure of RbRh3Se (GGA-PBE).

Computed properties:
The calculation puts the density at 6.79 g cm⁻³. The total moment comes out at 1.8 μB per formula unit. For the energy above the most stable polymorph in this dataset, the calculation gives 1849.3 meV per atom. Its space-group type is Pm-3m, No. 221.

Lattice parameters (Å, degrees): 4.872 4.872 4.872 90.00 90.00 90.00
Each line ends with the local moment (μB).
Element x y z (fractional)
Rh1 0.000 0.500 0.000  0.66
Rh2 0.500 0.000 0.000  0.52
Rh3 0.000 0.000 0.500  0.47
Se1 0.500 0.500 0.500  0.12
Rb1 0.000 0.000 0.000  -0.01

***

(12)
Entry from Alexandria via LeMat-Bulk: an optimized crystal structure of Tc2AgMo (GGA-PBE).

Computed properties:
The calculation puts the energy relative to the elements at 1.67 eV/f.u. The calculation puts the density at 10.60 g cm⁻³. The total moment comes out at 0.0 μB per formula unit. For the energy above the most stable polymorph in this dataset, the calculation gives 148.2 meV per atom. Its space-group type is P2/m, No. 10.

Lattice parameters (Å, degrees): 4.223 2.691 5.808 71.69 90.00 90.00
Element x y z (fractional)
Mo1 0.500 0.750 0.750
Tc1 0.000 0.927 0.989
Tc2 0.000 0.573 0.511
Ag1 0.500 0.250 0.250